Entry 1:
Below is SrV3Cr4O12 after structural relaxation, with properties calculated at the GGA+U level.

Cell: 6.532 6.532 6.532 Å, 109.47 109.47 109.47°
Element x y z (fractional)
Sr 0.000 0.000 0.000
V 0.000 0.500 0.500
V 0.500 0.000 0.500
V 0.500 0.500 0.000
Cr 0.000 0.000 0.500
Cr 0.000 0.500 0.000
Cr 0.500 0.000 0.000
Cr 0.500 0.500 0.500
O 0.129 0.816 0.312
O 0.184 0.312 0.496
O 0.184 0.688 0.871
O 0.312 0.129 0.816
O 0.312 0.496 0.184
O 0.496 0.184 0.312
O 0.504 0.816 0.688
O 0.688 0.504 0.816
O 0.688 0.871 0.184
O 0.816 0.312 0.129
O 0.816 0.688 0.504
O 0.871 0.184 0.688

***

Entry 2:
Below is SrVCrO5 after structural relaxation, with properties calculated at the GGA+U level.

Cell: 5.796 5.796 7.323 Å, 104.01 104.01 105.79°
Element x y z (fractional)
Sr 0.177 0.823 0.750
Sr 0.823 0.177 0.250
V 0.185 0.815 0.250
V 0.815 0.185 0.750
Cr 0.500 0.500 0.000
Cr 0.500 0.500 0.500
O 0.120 0.259 0.911
O 0.194 0.608 0.390
O 0.259 0.120 0.411
O 0.392 0.806 0.110
O 0.432 0.568 0.750
O 0.568 0.432 0.250
O 0.608 0.194 0.890
O 0.741 0.880 0.589
O 0.806 0.392 0.610
O 0.880 0.741 0.089

***

Entry 3:
Below is Sr3V2CrO8 after structural relaxation, with properties calculated at the GGA+U level.

Cell: 5.645 5.645 7.226 Å, 90.00 90.00 120.00°
Element x y z (fractional)
Sr 0.000 0.000 0.000
Sr 0.333 0.667 0.637
Sr 0.667 0.333 0.363
V 0.333 0.667 0.206
V 0.667 0.333 0.794
Cr 0.000 0.000 0.500
O 0.162 0.325 0.327
O 0.162 0.838 0.327
O 0.325 0.162 0.673
O 0.333 0.667 0.960
O 0.667 0.333 0.040
O 0.675 0.838 0.327
O 0.838 0.162 0.673
O 0.838 0.675 0.673

***

What final energy values result from the calculations? In sequence: -7.67, -7.42, -7.09 eV per atom.
What magnetic moment values result from the calculations? In sequence: 17.000, 3.000, 6.000 μB/f.u..